This record from Alexandria via LeMat-Bulk describes a relaxed structure of BaY2GeBr. The functional is PBE.

## Properties
Total DFT energy (no corrections)   -21.5 eV for the cell shown
Density of states at the Fermi level   1.07 states/eV per atom
Crystal system   tetragonal

Cell lengths 5.404, 5.404, 5.895 Å; angles 90.00, 90.00, 90.00 degrees
Space group P4/mmm (No. 123)
One atom of each set of equivalent atoms:
Ba  0.000  0.000  0.000 [1 per cell]
Y  0.000  0.500  0.500 [2 per cell]
Ge  0.500  0.500  0.000 [1 per cell]
Br  0.500  0.500  0.500 [1 per cell]

This record from Alexandria via LeMat-Bulk describes a relaxed structure of ScSbSe2. The functional is PBE.

## Properties
Total DFT energy (no corrections)   -19.8 eV for the cell shown
Density of states at the Fermi level   0.51 states/eV per atom
Crystal system   orthorhombic

Cell lengths 3.863, 4.026, 6.190 Å; angles 90.00, 90.00, 90.00 degrees
Space group Pmmm (No. 47)
One atom of each set of equivalent atoms:
Sc  0.000  0.000  0.000 [1 per cell]
Sb  0.500  0.000  0.500 [1 per cell]
Se  0.000  0.500  0.500 [1 per cell]
Se  0.500  0.500  0.000 [1 per cell]

This record from Alexandria via LeMat-Bulk describes a relaxed structure of MnGe2BPb. The functional is PBE.

## Properties
Total DFT energy (no corrections)   -20.2 eV for the cell shown
ΔH_f (0 K)   1715 meV/atom
Density of states at the Fermi level   0.68 states/eV per atom
Crystal system   tetragonal

Cell lengths 5.603, 5.603, 4.243 Å; angles 90.00, 90.00, 90.00 degrees
Space group P4/mmm (No. 123)
One atom of each set of equivalent atoms:
Mn  0.000  0.000  0.000 [1 per cell]
Ge  0.000  0.500  0.500 [2 per cell]
B  0.500  0.500  0.000 [1 per cell]
Pb  0.500  0.500  0.500 [1 per cell]

This record from Alexandria via LeMat-Bulk describes a relaxed structure of Pm12Sm2Y. The functional is PBE.

## Properties
Total DFT energy (no corrections)   -272.9 eV for the cell shown
ΔH_f (0 K)   313 meV/atom
Density of states at the Fermi level   1.35 states/eV per atom
Crystal system   orthorhombic

Cell lengths 9.259, 9.272, 25.492 Å; angles 90.00, 90.00, 90.00 degrees
Space group Cmme (No. 67)
One atom of each set of equivalent atoms:
Pm  0.000  0.066  0.115 [8 per cell]
Pm  0.000  0.082  0.562 [8 per cell]
Pm  0.168  0.250  0.438 [8 per cell]
Pm  0.184  0.250  0.885 [8 per cell]
Pm  0.250  0.000  0.215 [8 per cell]
Pm  0.250  0.000  0.338 [8 per cell]
Sm  0.000  0.250  0.270 [4 per cell]
Sm  0.000  0.250  0.730 [4 per cell]
Y  0.000  0.250  0.000 [4 per cell]

This record from Alexandria via LeMat-Bulk describes a relaxed structure of LiMoAu. The functional is PBE.

## Properties
Total DFT energy (no corrections)   -56.8 eV for the cell shown
ΔE to the lowest computed polymorph   595 meV per atom
ΔH_f (0 K)   607 meV/atom
Density of states at the Fermi level   0.51 states/eV per atom
Crystal system   cubic

Cell lengths 6.014, 6.014, 6.014 Å; angles 90.00, 90.00, 90.00 degrees
Space group F-43m (No. 216)
One atom of each set of equivalent atoms:
Li  0.000  0.000  0.000 [4 per cell]
Mo  0.000  0.000  0.500 [4 per cell]
Au  0.250  0.250  0.250 [4 per cell]

This record from Alexandria via LeMat-Bulk describes a relaxed structure of HoCuTe2. The functional is PBE.

## Properties
Total DFT energy (no corrections)   -18.2 eV for the cell shown
Density of states at the Fermi level   0.02 states/eV per atom
Crystal system   trigonal

Cell lengths 4.2270, 4.2270, 6.7071 Å; angles 90.00, 90.00, 120.00 degrees
Space group P-3m1 (No. 164)
One atom of each set of equivalent atoms:
Ho  0.0000  0.0000  0.0000 [1 per cell]
Cu  0.0000  0.0000  0.5000 [1 per cell]
Te  0.3333  0.6667  0.2768 [2 per cell]

This record from Alexandria via LeMat-Bulk describes a relaxed structure of MgTl2Cd. The functional is PBE.

## Properties
Total DFT energy (no corrections)   -21.6 eV for the cell shown
ΔE to the lowest computed polymorph   14 meV per atom
ΔH_f (0 K)   8 meV/atom
Density of states at the Fermi level   0.39 states/eV per atom
Crystal system   trigonal

Cell lengths 3.4700, 3.4700, 30.1599 Å; angles 90.00, 90.00, 120.00 degrees
Space group R-3m (No. 166, hexagonal axes)
One atom of each set of equivalent atoms:
Mg  0.0000  0.0000  0.0000 [3 per cell]
Tl  0.0000  0.0000  0.2517 [6 per cell]
Cd  0.0000  0.0000  0.5000 [3 per cell]

This record from Alexandria via LeMat-Bulk describes a relaxed structure of InI3N. The functional is PBE.

## Properties
Total DFT energy (no corrections)   -12.5 eV for the cell shown
ΔE to the lowest computed polymorph   161 meV per atom
Density of states at the Fermi level   0.41 states/eV per atom
Crystal system   cubic

Cell lengths 5.202, 5.202, 5.202 Å; angles 90.00, 90.00, 90.00 degrees
Space group Pm-3m (No. 221)
One atom of each set of equivalent atoms:
In  0.000  0.000  0.000 [1 per cell]
I  0.000  0.500  0.500 [3 per cell]
N  0.500  0.500  0.500 [1 per cell]